# 1
DFT (PBE) results for a relaxed structure of AlIn2Mo.

Lattice parameters (Å, degrees): 10.3927 2.9529 5.1157 90.00 98.68 90.00
Closest atoms and distances in Å follow each position.
Space group Cm (No. 8)
Symmetry-distinct sites (fractional):
Al 0.0000 0.0000 0.0000 (multiplicity 2)  2 Mo 2.78, 5 In 2.85-3.11, 2 Al 2.95
In 0.2334 0.0000 0.7417 (multiplicity 2)  4 Mo 2.93-2.99, 3 Al 2.93-3.24, 3 In 2.95
In 0.4603 0.0000 0.4578 (multiplicity 2)  4 Al 2.85-3.11, 3 In 2.95, 3 Mo 3.03-3.05
Mo 0.2148 0.5000 0.2283 (multiplicity 2)  2 Al 2.78, 7 In 2.93-3.05, 2 Mo 2.95

## Properties
E_tot = -4.764 eV per atom

# 2
DFT (PBE) results for a relaxed structure of CaGa2BiAu5.

Lattice parameters (Å, degrees): 4.9088 4.9088 7.9117 90.00 90.00 90.00
Closest atoms and distances in Å follow each position.
Space group P4/mmm (No. 123)
Symmetry-distinct sites (fractional):
Ca 0.0000 0.0000 0.0000 (multiplicity 1)  8 Au 3.06
Ga 0.5000 0.5000 0.3457 (multiplicity 2)  1 Ga 2.44, 4 Au 2.61
Bi 0.0000 0.0000 0.5000 (multiplicity 1)  8 Au 3.24
Au 0.0000 0.5000 0.2319 (multiplicity 4)  2 Ga 2.61
Au 0.5000 0.5000 0.0000 (multiplicity 1)  2 Ga 2.74

## Properties
E_tot = -3.432 eV per atom

# 3
DFT (PBE) results for a relaxed structure of Pm2Al3SnPd4.

Lattice parameters (Å, degrees): 4.3443 4.3443 10.5807 90.00 90.00 90.00
Closest atoms and distances in Å follow each position.
Space group P-4m2 (No. 115)
Symmetry-distinct sites (fractional):
Pm 0.0000 0.5000 0.2454 (multiplicity 2)  8 Pd 3.28-3.39, 6 Al 3.34-3.46, 2 Sn 3.46
Al 0.0000 0.5000 0.8791 (multiplicity 2)  5 Pd 2.47-2.52
Al 0.5000 0.5000 0.5000 (multiplicity 1)  4 Pd 2.66
Sn 0.0000 0.0000 0.5000 (multiplicity 1)  4 Pd 2.66
Pd 0.0000 0.0000 0.0000 (multiplicity 1)  4 Al 2.52
Pd 0.0000 0.5000 0.6458 (multiplicity 2)  3 Al 2.47-2.66, 2 Sn 2.66
Pd 0.5000 0.5000 0.0000 (multiplicity 1)  4 Al 2.52

## Properties
E_tot = -5.387 eV per atom

# 4
DFT (PBE) results for a relaxed structure of HfNbS2.

Lattice parameters (Å, degrees): 6.3065 6.3065 6.3065 90.00 90.00 90.00
Closest atoms and distances in Å follow each position.
Space group Fm-3m (No. 225)
Symmetry-distinct sites (fractional):
Hf 0.0000 0.0000 0.0000 (multiplicity 4)  8 S 2.73
Nb 0.0000 0.0000 0.5000 (multiplicity 4)  8 S 2.73
S 0.2500 0.2500 0.2500 (multiplicity 8)  4 Hf 2.73, 4 Nb 2.73

## Properties
energy relative to the elements, uncorrected = -865.9 meV/atom
offset from the most stable computed form = 0.178 eV/atom

# 5
DFT (PBE) results for a relaxed structure of Tb3Pd2.

Lattice parameters (Å, degrees): 7.8467 7.8467 3.9434 90.00 90.00 90.00
Closest atoms and distances in Å follow each position.
Space group P4/mbm (No. 127)
Symmetry-distinct sites (fractional):
Tb 0.0000 0.0000 0.0000 (multiplicity 2)  4 Pd 3.07
Tb 0.1657 0.3343 0.5000 (multiplicity 4)  6 Pd 2.99-3.06
Pd 0.1312 0.6312 0.0000 (multiplicity 4)  1 Pd 2.91, 8 Tb 2.99-3.07

## Properties
offset from the most stable computed form = 0.000 eV/atom

# 6
DFT (PBE) results for a relaxed structure of K2Rb2Ba.

Lattice parameters (Å, degrees): 5.9663 5.9663 22.9766 90.00 90.00 90.00
Closest atoms and distances in Å follow each position.
Space group I4/mmm (No. 139)
Symmetry-distinct sites (fractional):
K 0.0000 0.5000 0.2500 (multiplicity 4)  4 K 4.22, 4 Rb 4.59
Rb 0.0000 0.0000 0.0981 (multiplicity 4)  1 Rb 4.51, 4 K 4.59, 4 Ba 4.78
Ba 0.0000 0.0000 0.5000 (multiplicity 2)  8 Rb 4.78

## Properties
offset from the most stable computed form = 0.067 eV/atom

# 7
DFT (PBE) results for a relaxed structure of AlZnGa.

Lattice parameters (Å, degrees): 5.7998 2.8862 6.3041 90.00 103.85 90.00
Closest atoms and distances in Å follow each position.
Space group Pm (No. 6)
Symmetry-distinct sites (fractional):
Al 0.0000 0.0000 0.0000 (multiplicity 1)  3 Zn 2.69-2.81, 3 Ga 2.75-2.95, 4 Al 2.81-2.89
Al 0.3361 0.5000 0.3121 (multiplicity 1)  4 Zn 2.79-2.95, 4 Al 2.81-2.89, 4 Ga 2.82-2.84
Zn 0.6660 0.0000 0.6217 (multiplicity 1)  3 Al 2.69-2.79, 3 Ga 2.71-2.96, 4 Zn 2.76-2.89
Zn 0.8275 0.5000 0.3120 (multiplicity 1)  4 Zn 2.76-2.89, 4 Ga 2.78-2.80, 4 Al 2.81-2.95
Ga 0.1559 0.0000 0.6212 (multiplicity 1)  3 Ga 2.70-2.89, 3 Al 2.75-2.82, 4 Zn 2.78-2.96
Ga 0.5055 0.0000 0.9912 (multiplicity 1)  3 Ga 2.70-2.89, 3 Zn 2.71-2.80, 4 Al 2.84-2.95

## Properties
E_tot = -2.640 eV per atom